(1)
A relaxed structure of LaY2Sb. Source: Alexandria, functional PBE-GGA.

Cell lengths 3.981, 3.981, 7.587 Å; angles 90.00, 90.00, 90.00 degrees
Atoms (fractional coordinates):
Y  0.000  0.000  0.537
Y  0.000  0.000  0.963
Sb  0.500  0.500  0.750
La  0.500  0.500  0.250

Total energy   -5.9920 eV per atom
Total moment   0.00 μB/atom
SG   No. 123

(2)
A relaxed structure of SrAl2Ga. Source: Alexandria, functional PBE-GGA.

Cell lengths 5.038, 5.038, 9.690 Å; angles 74.93, 74.93, 90.00 degrees
Atoms (fractional coordinates):
Al  0.375  0.625  0.750
Al  0.375  0.625  0.250
Al  0.875  0.625  0.750
Al  0.375  0.125  0.250
Ga  0.250  0.750  0.500
Ga  0.500  0.500  0.000
Sr  0.000  0.000  0.000
Sr  0.750  0.250  0.500

Total energy   -3.0973 eV per atom
Total moment   0.00 μB/atom
SG   No. 141

(3)
A relaxed structure of ScMn. Source: Alexandria, functional PBE-GGA.

Cell lengths 8.554, 8.554, 4.275 Å; angles 90.00, 90.00, 90.00 degrees
Atoms (fractional coordinates):
Mn  0.482  0.316  0.000
Mn  0.466  0.116  0.500
Mn  0.684  0.482  0.000
Mn  0.518  0.684  0.000
Mn  0.884  0.466  0.500
Mn  0.534  0.884  0.500
Mn  0.316  0.518  0.000
Mn  0.116  0.534  0.500
Sc  0.321  0.004  0.000
Sc  0.689  0.280  0.500
Sc  0.280  0.311  0.500
Sc  0.004  0.679  0.000
Sc  0.311  0.720  0.500
Sc  0.720  0.689  0.500
Sc  0.679  0.996  0.000
Sc  0.996  0.321  0.000

Total energy   -7.3973 eV per atom
Total moment   0.00 μB/atom
SG   No. 83